Below is a geometry-optimized CeBeSi structure, with properties calculated at the PBE level.

Cell lengths 5.7410, 5.7410, 5.7410 Å; angles 148.70, 148.70, 44.86 degrees
Fractional positions:
Ce 0.0000 0.0000 0.0000
Be 0.2992 0.2992 0.0000
Si 0.7085 0.7085 0.0000

Results
For the total energy, the calculation gives -5.048 eV/atom.

***

Below is a geometry-optimized Pa3Tl structure, with properties calculated at the PBE level.

Cell lengths 6.4158, 6.4158, 6.4158 Å; angles 151.19, 61.46, 126.98 degrees
Fractional positions:
Pa 0.0000 0.0000 0.0000
Pa 0.4568 0.6984 0.7584
Pa 0.9400 0.6984 0.2416
Tl 0.4947 0.9947 0.5000

Results
The formation energy is 0.1192 eV/atom.

***

Below is a geometry-optimized HfCo3As2 structure, with properties calculated at the PBE level.

Cell lengths 7.8629, 7.8629, 9.1805 Å; angles 107.32, 107.32, 27.12 degrees
Fractional positions:
Hf 0.0000 0.0000 0.0000
Hf 0.1536 0.1536 0.6915
Hf 0.8464 0.8464 0.3085
Co 0.0396 0.0396 0.3340
Co 0.2163 0.2163 0.3893
Co 0.3183 0.3183 0.0338
Co 0.3878 0.3878 0.8056
Co 0.5000 0.5000 0.5000
Co 0.6122 0.6122 0.1944
Co 0.6817 0.6817 0.9662
Co 0.7837 0.7837 0.6107
Co 0.9604 0.9604 0.6660
As 0.1964 0.1964 0.1320
As 0.3606 0.3606 0.5443
As 0.4569 0.4569 0.2141
As 0.5431 0.5431 0.7859
As 0.6394 0.6394 0.4557
As 0.8036 0.8036 0.8680

Results
The formation energy is -0.4924 eV/atom.

***

Q: Which formula does entry 2 have?
A: Pa3Tl

***

Please write out number 3 again, unchanged.
Below is a geometry-optimized HfCo3As2 structure, with properties calculated at the PBE level.

Cell lengths 7.8629, 7.8629, 9.1805 Å; angles 107.32, 107.32, 27.12 degrees
Fractional positions:
Hf 0.0000 0.0000 0.0000
Hf 0.1536 0.1536 0.6915
Hf 0.8464 0.8464 0.3085
Co 0.0396 0.0396 0.3340
Co 0.2163 0.2163 0.3893
Co 0.3183 0.3183 0.0338
Co 0.3878 0.3878 0.8056
Co 0.5000 0.5000 0.5000
Co 0.6122 0.6122 0.1944
Co 0.6817 0.6817 0.9662
Co 0.7837 0.7837 0.6107
Co 0.9604 0.9604 0.6660
As 0.1964 0.1964 0.1320
As 0.3606 0.3606 0.5443
As 0.4569 0.4569 0.2141
As 0.5431 0.5431 0.7859
As 0.6394 0.6394 0.4557
As 0.8036 0.8036 0.8680

Results
The formation energy is -0.4924 eV/atom.